1.
Density functional theory data (PBE) for a relaxed NbSeI2O crystal.

Output
Distance to the lowest polymorph of the same formula in meV/atom: 0.0
Formation energy without anion corrections in eV/f.u.: -1.9
N(E_F) in states/eV/atom: 0.919
Magnetization in μB per cell: 0.3

Unit cell a=5.645 b=5.645 c=3.916 alpha=90.00 beta=90.00 gamma=90.00
Sites, in units of the cell vectors:
Nb 0.000 0.000 0.000
Se 0.500 0.500 0.500
I 0.000 0.500 0.000
I 0.500 0.000 0.000
O 0.000 0.000 0.500

---

2.
Density functional theory data (PBE) for a relaxed LaLuInAg crystal.

Output
Energy of formation in eV per atom: -0.36
N(E_F) in states/eV/atom: 0.759
Magnetization in μB per cell: 0.0

Unit cell a=5.352 b=5.352 c=5.352 alpha=60.00 beta=60.00 gamma=60.00
Sites, in units of the cell vectors:
La 0.000 0.000 0.000
Lu 0.500 0.500 0.500
In 0.250 0.250 0.250
Ag 0.750 0.750 0.750

---

3.
Density functional theory data (PBE) for a relaxed LiLaTmLu crystal.

Output
Energy of formation in eV per atom: 0.16
N(E_F) in states/eV/atom: 1.100
Magnetization in μB per cell: 0.0

Unit cell a=5.515 b=5.515 c=5.515 alpha=60.00 beta=60.00 gamma=60.00
Sites, in units of the cell vectors:
Li 0.000 0.000 0.000
La 0.750 0.750 0.750
Tm 0.250 0.250 0.250
Lu 0.500 0.500 0.500